# Ca3NiP (PBE, relaxed)
# calculated density	2.22	g cm⁻³
# relative energy among the computed polymorphs	0.000	eV per atom
data_Ca3NiP
_chemical_formula_sum 'Ca3 Ni1 P1'
_cell_length_a 5.3927
_cell_length_b 5.3927
_cell_length_c 5.3927
_cell_angle_alpha 90.00
_cell_angle_beta 90.00
_cell_angle_gamma 90.00
_space_group_name_H-M_alt 'P m -3 m'
_space_group_IT_number 221
_space_group_name_Hall '-P 4 2 3'
loop_
_atom_site_label
_atom_site_fract_x
_atom_site_fract_y
_atom_site_fract_z
_atom_site_occupancy
Ca1 0.0000 0.0000 0.5000 1
Ni1 0.5000 0.5000 0.5000 1
P1 0.0000 0.0000 0.0000 1

---

# CaNiP2 (PBE, relaxed)
# calculated density	3.53	g cm⁻³
data_CaNiP2
_chemical_formula_sum 'Ca1 Ni1 P2'
_cell_length_a 4.2179
_cell_length_b 4.0539
_cell_length_c 4.4305
_cell_angle_alpha 90.00
_cell_angle_beta 93.46
_cell_angle_gamma 90.00
_space_group_name_H-M_alt 'P 1 m 1'
_space_group_IT_number 6
_space_group_name_Hall 'P -2y'
loop_
_atom_site_label
_atom_site_fract_x
_atom_site_fract_y
_atom_site_fract_z
_atom_site_occupancy
Ca1 0.0000 0.0000 0.0000 1
Ni1 0.6439 0.5000 0.3943 1
P1 0.1447 0.5000 0.5116 1
P2 0.4708 0.0000 0.5444 1

---

# CaNi4P3 (PBE, relaxed)
# calculated density	5.67	g cm⁻³
data_CaNi4P3
_chemical_formula_sum 'Ca1 Ni4 P3'
_cell_length_a 3.8474
_cell_length_b 3.8474
_cell_length_c 7.2736
_cell_angle_alpha 90.00
_cell_angle_beta 90.00
_cell_angle_gamma 90.00
_space_group_name_H-M_alt 'P 4/m m m'
_space_group_IT_number 123
_space_group_name_Hall '-P 4 2'
loop_
_atom_site_label
_atom_site_fract_x
_atom_site_fract_y
_atom_site_fract_z
_atom_site_occupancy
Ca1 0.0000 0.0000 0.0000 1
Ni1 0.0000 0.5000 0.3240 1
P1 0.0000 0.0000 0.5000 1
P2 0.5000 0.5000 0.1599 1

---

# Ca2NiP (PBE, relaxed)
# calculated density	3.38	g cm⁻³
data_Ca2NiP
_chemical_formula_sum 'Ca2 Ni1 P1'
_cell_length_a 3.5068
_cell_length_b 3.5951
_cell_length_c 6.6272
_cell_angle_alpha 90.00
_cell_angle_beta 90.00
_cell_angle_gamma 90.00
_space_group_name_H-M_alt 'P m m m'
_space_group_IT_number 47
_space_group_name_Hall '-P 2 2'
loop_
_atom_site_label
_atom_site_fract_x
_atom_site_fract_y
_atom_site_fract_z
_atom_site_occupancy
Ca1 0.0000 0.0000 0.2415 1
Ni1 0.5000 0.5000 0.5000 1
P1 0.5000 0.5000 0.0000 1

---

# Ca2NiP (PBE, relaxed)
# calculated density	3.13	g cm⁻³
data_Ca2NiP
_chemical_formula_sum 'Ca2 Ni1 P1'
_cell_length_a 3.3355
_cell_length_b 3.3355
_cell_length_c 8.0933
_cell_angle_alpha 90.00
_cell_angle_beta 90.00
_cell_angle_gamma 90.00
_space_group_name_H-M_alt 'P 4 m m'
_space_group_IT_number 99
_space_group_name_Hall 'P 4 -2'
loop_
_atom_site_label
_atom_site_fract_x
_atom_site_fract_y
_atom_site_fract_z
_atom_site_occupancy
Ca1 0.0000 0.0000 0.0000 1
Ca2 0.5000 0.5000 0.3972 1
Ni1 0.0000 0.0000 0.6654 1
P1 0.5000 0.5000 0.7465 1

---

# Ca2NiP2 (PBE, relaxed)
# calculated density	3.36	g cm⁻³
# relative energy among the computed polymorphs	0.000	eV per atom
data_Ca2NiP2
_chemical_formula_sum 'Ca8 Ni4 P8'
_cell_length_a 10.7156
_cell_length_b 3.8381
_cell_length_c 10.2353
_cell_angle_alpha 90.00
_cell_angle_beta 109.32
_cell_angle_gamma 90.00
_space_group_name_H-M_alt 'C 1 2/m 1'
_space_group_IT_number 12
_space_group_name_Hall '-C 2y'
loop_
_atom_site_label
_atom_site_fract_x
_atom_site_fract_y
_atom_site_fract_z
_atom_site_occupancy
Ca1 0.0895 0.0000 0.4020 1
Ca2 0.1970 0.5000 0.1406 1
Ni1 0.0727 0.5000 0.8213 1
P1 0.0393 0.0000 0.9099 1
P2 0.1529 0.5000 0.6477 1

---

# CaNiP2 (PBE, relaxed)
# calculated density	4.06	g cm⁻³
data_CaNiP2
_chemical_formula_sum 'Ca1 Ni1 P2'
_cell_length_a 3.3207
_cell_length_b 3.3207
_cell_length_c 5.9572
_cell_angle_alpha 90.00
_cell_angle_beta 90.00
_cell_angle_gamma 90.00
_space_group_name_H-M_alt 'P 4/m m m'
_space_group_IT_number 123
_space_group_name_Hall '-P 4 2'
loop_
_atom_site_label
_atom_site_fract_x
_atom_site_fract_y
_atom_site_fract_z
_atom_site_occupancy
Ca1 0.0000 0.0000 0.0000 1
Ni1 0.0000 0.0000 0.5000 1
P1 0.5000 0.5000 0.3211 1

---

# CaNi3P2 (PBE, relaxed)
# calculated density	5.62	g cm⁻³
# relative energy among the computed polymorphs	0.000	eV per atom
data_CaNi3P2
_chemical_formula_sum 'Ca6 Ni18 P12'
_cell_length_a 15.0940
_cell_length_b 3.6961
_cell_length_c 9.2330
_cell_angle_alpha 90.00
_cell_angle_beta 106.90
_cell_angle_gamma 90.00
_space_group_name_H-M_alt 'C 1 2/m 1'
_space_group_IT_number 12
_space_group_name_Hall '-C 2y'
loop_
_atom_site_label
_atom_site_fract_x
_atom_site_fract_y
_atom_site_fract_z
_atom_site_occupancy
Ca1 0.0000 0.0000 0.0000 1
Ca2 0.1536 0.0000 0.6992 1
Ni1 0.0000 0.5000 0.5000 1
Ni2 0.0479 0.0000 0.3356 1
Ni3 0.1292 0.5000 0.2083 1
Ni4 0.1796 0.5000 0.9701 1
Ni5 0.2199 0.0000 0.3935 1
P1 0.0321 0.5000 0.7763 1
P2 0.1389 0.5000 0.4521 1
P3 0.2007 0.0000 0.1340 1

---

# CaNiP3 (PBE, relaxed)
# calculated density	3.43	g cm⁻³
# relative energy among the computed polymorphs	0.000	eV per atom
data_CaNiP3
_chemical_formula_sum 'Ca1 Ni1 P3'
_cell_length_a 4.5284
_cell_length_b 4.5284
_cell_length_c 4.5284
_cell_angle_alpha 90.00
_cell_angle_beta 90.00
_cell_angle_gamma 90.00
_space_group_name_H-M_alt 'P m -3 m'
_space_group_IT_number 221
_space_group_name_Hall '-P 4 2 3'
loop_
_atom_site_label
_atom_site_fract_x
_atom_site_fract_y
_atom_site_fract_z
_atom_site_occupancy
Ca1 0.0000 0.0000 0.0000 1
Ni1 0.5000 0.5000 0.5000 1
P1 0.0000 0.5000 0.5000 1

---

# CaNi2P (PBE, relaxed)
# calculated density	5.30	g cm⁻³
data_CaNi2P
_chemical_formula_sum 'Ca2 Ni4 P2'
_cell_length_a 3.8378
_cell_length_b 3.8378
_cell_length_c 8.0182
_cell_angle_alpha 90.00
_cell_angle_beta 90.00
_cell_angle_gamma 90.00
_space_group_name_H-M_alt 'I -4 m 2'
_space_group_IT_number 119
_space_group_name_Hall 'I -4 -2'
loop_
_atom_site_label
_atom_site_fract_x
_atom_site_fract_y
_atom_site_fract_z
_atom_site_occupancy
Ca1 0.0000 0.0000 0.0000 1
Ni1 0.0000 0.0000 0.5000 1
Ni2 0.0000 0.5000 0.7500 1
P1 0.0000 0.5000 0.2500 1

---

# CaNi2P (PBE, relaxed)
# calculated density	4.83	g cm⁻³
data_CaNi2P
_chemical_formula_sum 'Ca2 Ni4 P2'
_cell_length_a 3.9162
_cell_length_b 3.9162
_cell_length_c 9.7580
_cell_angle_alpha 90.00
_cell_angle_beta 90.00
_cell_angle_gamma 120.00
_space_group_name_H-M_alt 'P 63/m m c'
_space_group_IT_number 194
_space_group_name_Hall '-P 6c 2c'
loop_
_atom_site_label
_atom_site_fract_x
_atom_site_fract_y
_atom_site_fract_z
_atom_site_occupancy
Ca1 0.3333 0.6667 0.2500 1
Ni1 0.3333 0.6667 0.5445 1
P1 0.0000 0.0000 0.0000 1

---

# CaNi2P (PBE, relaxed)
# calculated density	5.20	g cm⁻³
data_CaNi2P
_chemical_formula_sum 'Ca2 Ni4 P2'
_cell_length_a 5.5852
_cell_length_b 8.5485
_cell_length_c 2.9445
_cell_angle_alpha 90.00
_cell_angle_beta 121.21
_cell_angle_gamma 90.00
_space_group_name_H-M_alt 'C 1 2/m 1'
_space_group_IT_number 12
_space_group_name_Hall '-C 2y'
loop_
_atom_site_label
_atom_site_fract_x
_atom_site_fract_y
_atom_site_fract_z
_atom_site_occupancy
Ca1 0.0000 0.0000 0.0000 1
Ni1 0.2500 0.2500 0.5000 1
P1 0.0000 0.5000 0.0000 1

---

# CaNiP2 (PBE, relaxed)
# calculated density	3.86	g cm⁻³
data_CaNiP2
_chemical_formula_sum 'Ca2 Ni2 P4'
_cell_length_a 3.8872
_cell_length_b 3.8872
_cell_length_c 9.1427
_cell_angle_alpha 90.00
_cell_angle_beta 90.00
_cell_angle_gamma 90.00
_space_group_name_H-M_alt 'I -4 m 2'
_space_group_IT_number 119
_space_group_name_Hall 'I -4 -2'
loop_
_atom_site_label
_atom_site_fract_x
_atom_site_fract_y
_atom_site_fract_z
_atom_site_occupancy
Ca1 0.0000 0.0000 0.0000 1
Ni1 0.0000 0.5000 0.7500 1
P1 0.0000 0.0000 0.3772 1

---

# CaNi2P (PBE, relaxed)
# calculated density	4.73	g cm⁻³
data_CaNi2P
_chemical_formula_sum 'Ca2 Ni4 P2'
_cell_length_a 6.7801
_cell_length_b 3.9214
_cell_length_c 5.4719
_cell_angle_alpha 90.00
_cell_angle_beta 114.61
_cell_angle_gamma 90.00
_space_group_name_H-M_alt 'C 1 m 1'
_space_group_IT_number 8
_space_group_name_Hall 'C -2y'
loop_
_atom_site_label
_atom_site_fract_x
_atom_site_fract_y
_atom_site_fract_z
_atom_site_occupancy
Ca1 0.0000 0.0000 0.0000 1
Ni1 0.0209 0.5000 0.5647 1
Ni2 0.3046 0.5000 0.4161 1
P1 0.1927 0.0000 0.5804 1

---

# CaNi2P (PBE, relaxed)
# calculated density	4.66	g cm⁻³
data_CaNi2P
_chemical_formula_sum 'Ca2 Ni4 P2'
_cell_length_a 3.5035
_cell_length_b 4.0696
_cell_length_c 9.4134
_cell_angle_alpha 90.00
_cell_angle_beta 90.00
_cell_angle_gamma 90.00
_space_group_name_H-M_alt 'I m m 2'
_space_group_IT_number 44
_space_group_name_Hall 'I 2 -2'
loop_
_atom_site_label
_atom_site_fract_x
_atom_site_fract_y
_atom_site_fract_z
_atom_site_occupancy
Ca1 0.0000 0.0000 0.0000 1
Ni1 0.0000 0.0000 0.3785 1
Ni2 0.0000 0.5000 0.2351 1
P1 0.0000 0.5000 0.7498 1

---

# CaNi2P (PBE, relaxed)
# calculated density	4.51	g cm⁻³
data_CaNi2P
_chemical_formula_sum 'Ca1 Ni2 P1'
_cell_length_a 3.7691
_cell_length_b 3.7691
_cell_length_c 4.8853
_cell_angle_alpha 90.00
_cell_angle_beta 90.00
_cell_angle_gamma 90.00
_space_group_name_H-M_alt 'P 4 m m'
_space_group_IT_number 99
_space_group_name_Hall 'P 4 -2'
loop_
_atom_site_label
_atom_site_fract_x
_atom_site_fract_y
_atom_site_fract_z
_atom_site_occupancy
Ca1 0.0000 0.0000 0.0000 1
Ni1 0.0000 0.5000 0.4828 1
P1 0.5000 0.5000 0.6976 1

---

# CaNi2P (PBE, relaxed)
# calculated density	4.96	g cm⁻³
data_CaNi2P
_chemical_formula_sum 'Ca2 Ni4 P2'
_cell_length_a 3.7889
_cell_length_b 3.7889
_cell_length_c 8.7953
_cell_angle_alpha 90.00
_cell_angle_beta 90.00
_cell_angle_gamma 90.00
_space_group_name_H-M_alt 'P 4/n m m'
_space_group_IT_number 129
loop_
_space_group_symop_operation_xyz
'x,y,z'
'-x,-y,-z'
'-y+1/2,x,z'
'y+1/2,-x,-z'
'-x+1/2,-y+1/2,z'
'x+1/2,y+1/2,-z'
'y,-x+1/2,z'
'-y,x+1/2,-z'
'x+1/2,-y,-z'
'-x+1/2,y,z'
'-y,-x,-z'
'y,x,z'
'-x,y+1/2,-z'
'x,-y+1/2,z'
'y+1/2,x+1/2,-z'
'-y+1/2,-x+1/2,z'
loop_
_atom_site_label
_atom_site_fract_x
_atom_site_fract_y
_atom_site_fract_z
_atom_site_occupancy
Ca1 0.2500 0.2500 0.2217 1
Ni1 0.2500 0.2500 0.8995 1
Ni2 0.2500 0.7500 0.5000 1
P1 0.2500 0.2500 0.6473 1

---

# CaNi2P (PBE, relaxed)
# calculated density	4.23	g cm⁻³
data_CaNi2P
_chemical_formula_sum 'Ca1 Ni2 P1'
_cell_length_a 3.5925
_cell_length_b 4.2825
_cell_length_c 4.8093
_cell_angle_alpha 90.00
_cell_angle_beta 90.00
_cell_angle_gamma 90.00
_space_group_name_H-M_alt 'P m m m'
_space_group_IT_number 47
_space_group_name_Hall '-P 2 2'
loop_
_atom_site_label
_atom_site_fract_x
_atom_site_fract_y
_atom_site_fract_z
_atom_site_occupancy
Ca1 0.0000 0.0000 0.0000 1
Ni1 0.5000 0.5000 0.2479 1
P1 0.0000 0.5000 0.5000 1

---

# Ca2NiP (PBE, relaxed)
# calculated density	3.06	g cm⁻³
data_Ca2NiP
_chemical_formula_sum 'Ca2 Ni1 P1'
_cell_length_a 3.3567
_cell_length_b 4.7449
_cell_length_c 5.7830
_cell_angle_alpha 90.00
_cell_angle_beta 90.00
_cell_angle_gamma 90.00
_space_group_name_H-M_alt 'P m m 2'
_space_group_IT_number 25
_space_group_name_Hall 'P 2 -2'
loop_
_atom_site_label
_atom_site_fract_x
_atom_site_fract_y
_atom_site_fract_z
_atom_site_occupancy
Ca1 0.0000 0.0000 0.0000 1
Ca2 0.5000 0.5000 0.4868 1
Ni1 0.0000 0.0000 0.5021 1
P1 0.5000 0.5000 0.9862 1

---

# Ca2NiP (PBE, relaxed)
# calculated density	2.93	g cm⁻³
data_Ca2NiP
_chemical_formula_sum 'Ca4 Ni2 P2'
_cell_length_a 4.2681
_cell_length_b 5.5829
_cell_length_c 8.0644
_cell_angle_alpha 90.00
_cell_angle_beta 90.00
_cell_angle_gamma 90.00
_space_group_name_H-M_alt 'C m m 2'
_space_group_IT_number 35
_space_group_name_Hall 'C 2 -2'
loop_
_atom_site_label
_atom_site_fract_x
_atom_site_fract_y
_atom_site_fract_z
_atom_site_occupancy
Ca1 0.0000 0.0000 0.0000 1
Ca2 0.0000 0.5000 0.3996 1
Ni1 0.0000 0.5000 0.7386 1
P1 0.0000 0.0000 0.6529 1

---

| no. | energy of formation (eV per atom) | final energy (eV per cell) |
| --- | --- | --- |
| 1 | -0.162 | -18.01 |
| 2 | -0.578 | -20.92 |
| 3 | -0.709 | -47.03 |
| 4 | -0.386 | -16.74 |
| 5 | -0.241 | -16.16 |
| 6 | -0.963 | -101.68 |
| 7 | -0.283 | -19.73 |
| 8 | -0.771 | -208.73 |
| 9 | -0.027 | -24.15 |
| 10 | -0.076 | -38.55 |
| 11 | -0.623 | -42.93 |
| 12 | 0.077 | -37.33 |
| 13 | -0.751 | -43.21 |
| 14 | -0.588 | -42.66 |
| 15 | -0.234 | -39.82 |
| 16 | -0.496 | -20.96 |
| 17 | -0.511 | -42.03 |
| 18 | -0.431 | -20.70 |
| 19 | -0.242 | -16.16 |
| 20 | -0.246 | -32.36 |